Entry from the Alexandria database: a relaxed Hg3SI2 crystal (PBE).

Unit cell a=7.816 b=7.480 c=8.515 alpha=81.76 beta=90.00 gamma=121.50
Positions (direct):
I  0.676  0.336  0.020
I  0.660  0.336  0.520
I  0.324  0.664  0.980
I  0.340  0.664  0.480
Hg  0.041  0.692  0.706
Hg  0.683  0.000  0.750
Hg  0.651  0.692  0.206
Hg  0.959  0.308  0.294
Hg  0.317  0.000  0.250
Hg  0.349  0.308  0.794
S  0.001  0.000  0.750
S  0.999  0.000  0.250

Computed properties:
Space-group type: C2/c, No. 15
ΔE_f (raw) (eV per atom): 0.04



Entry from the Alexandria database: a relaxed KHg2Mo crystal (PBE).

Unit cell a=6.726 b=6.726 c=6.726 alpha=154.52 beta=132.09 gamma=55.04
Site moments in Bohr magnetons follow the coordinates.
Positions (direct):
Hg  0.981  0.981  0.000  0.03
Hg  0.235  0.735  0.500  0.00
Mo  0.775  0.275  0.500  1.49
K  0.509  0.509  0.000  0.01

Computed properties:
Space-group type: Imm2, No. 44
Calculated total energy (eV per atom): -2.43



Entry from the Alexandria database: a relaxed La6US12 crystal (PBE).

Unit cell a=8.169 b=8.169 c=8.169 alpha=98.41 beta=98.41 gamma=98.41
Positions (direct):
S  0.177  0.434  0.588
S  0.566  0.412  0.823
S  0.938  0.030  0.689
S  0.588  0.177  0.434
S  0.823  0.566  0.412
S  0.412  0.823  0.566
S  0.434  0.588  0.177
S  0.970  0.311  0.062
S  0.689  0.938  0.030
S  0.062  0.970  0.311
S  0.030  0.689  0.938
S  0.311  0.062  0.970
La  0.857  0.373  0.685
La  0.143  0.627  0.315
La  0.627  0.315  0.143
La  0.685  0.857  0.373
La  0.373  0.685  0.857
La  0.315  0.143  0.627
U  0.000  0.000  0.000

Computed properties:
Space-group type: R-3, No. 148
ΔE_f (raw) (eV per atom): -1.99



Entry from the Alexandria database: a relaxed InHgOs2 crystal (PBE).

Unit cell a=4.605 b=4.605 c=4.605 alpha=60.00 beta=60.00 gamma=60.00
Site moments in Bohr magnetons follow the coordinates.
Positions (direct):
Os  0.750  0.750  0.750  0.53
Os  0.250  0.250  0.250  0.53
Hg  0.500  0.500  0.500  0.03
In  0.000  0.000  0.000  -0.01

Computed properties:
Space-group type: Fm-3m, No. 225
Calculated total energy (eV per atom): -5.40



Entry from the Alexandria database: a relaxed Ag2AsPbS4 crystal (PBE).

Unit cell a=6.826 b=6.248 c=6.248 alpha=75.52 beta=56.89 gamma=56.89
Positions (direct):
As  0.000  0.500  0.500
Ag  0.500  0.302  0.698
Ag  0.500  0.698  0.302
Pb  0.000  0.000  0.000
S  0.610  0.515  0.872
S  0.997  0.485  0.128
S  0.390  0.128  0.485
S  0.003  0.872  0.515

Computed properties:
Space-group type: I222, No. 23
ΔE_f (raw) (eV per atom): -0.08



Entry from the Alexandria database: a relaxed Ho4MgZn crystal (PBE).

Unit cell a=3.558 b=3.558 c=12.793 alpha=90.00 beta=90.00 gamma=90.00
Site moments in Bohr magnetons follow the coordinates.
Positions (direct):
Ho  0.500  0.500  0.138  0.11
Ho  0.000  0.000  0.670  0.15
Ho  0.500  0.500  0.862  0.11
Ho  0.000  0.000  0.330  0.15
Mg  0.500  0.500  0.500  0.00
Zn  0.000  0.000  0.000  0.00

Computed properties:
Space-group type: P4/mmm, No. 123
Calculated total energy (eV per atom): -3.65



Entry from the Alexandria database: a relaxed Sr2MgSe crystal (PBE).

Unit cell a=4.282 b=4.282 c=9.654 alpha=77.20 beta=77.20 gamma=60.00
Positions (direct):
Sr  0.484  0.484  0.548
Sr  0.016  0.016  0.952
Mg  0.250  0.250  0.250
Se  0.750  0.750  0.750

Computed properties:
Space-group type: R-3m, No. 166
ΔE_f (raw) (eV per atom): -0.89



Entry from the Alexandria database: a relaxed LiAcTmCd crystal (PBE).

Unit cell a=5.497 b=5.497 c=5.497 alpha=60.00 beta=60.00 gamma=60.00
Positions (direct):
Tm  0.500  0.500  0.500
Li  0.250  0.250  0.250
Cd  0.750  0.750  0.750
Ac  0.000  0.000  0.000

Computed properties:
Space-group type: F-43m, No. 216
Calculated total energy (eV per atom): -2.92



no.,size of the total moment (μB per cell)
1,0.0
2,1.9
3,0.0
4,1.1
5,0.0
6,0.7
7,0.0
8,0.0